Compound: Ba4Hf3O10
Source: Alexandria via LeMat-Bulk
Functional: PBE-GGA
Structure: relaxed

a b c (Å): 4.2025 4.2025 15.4924
angles (deg): 97.80 97.80 90.00
Fractional positions:
O (0.1383, 0.6383, 0.2766)
O (0.9309, 0.9309, 0.8619)
Ba (0.4312, 0.4312, 0.8625)
O (0.6383, 0.1383, 0.2766)
O (0.5000, 0.0000, 0.0000)
Hf (0.8608, 0.8608, 0.7216)
O (0.7923, 0.7923, 0.5847)
O (0.8617, 0.3617, 0.7234)
Ba (0.2965, 0.2965, 0.5930)
O (0.0691, 0.0691, 0.1381)
O (0.3617, 0.8617, 0.7234)
Hf (0.0000, 0.0000, 0.0000)
Ba (0.7035, 0.7035, 0.4070)
Hf (0.1392, 0.1392, 0.2784)
Ba (0.5688, 0.5688, 0.1375)
O (0.2077, 0.2077, 0.4153)
O (0.0000, 0.5000, 0.0000)

Properties
- E: -142.8 eV per formula unit
- Fermi-level density of states: 0.00 states/eV per cell
- Calculated density: 7.70 g cm⁻³
- Size of the total moment: 0.0 μB/f.u.
- Formation energy from raw total energies: -3.275 eV/atom